1.
The following is a PBE calculation of SbRu2Cl after structural relaxation, from Alexandria.

POSCAR file:
```
SbRu2Cl
1.0
5.4344 0.5639 0.0000
2.3663 4.9246 0.0000
-3.9004 -2.7443 2.6660
Sb Ru Cl
1 2 1
direct
0.5000 0.5000 0.0000 Sb
0.0000 0.0000 0.0000 Ru
0.2500 0.7500 0.5000 Ru
0.7500 0.2500 0.5000 Cl
```

Values from the calculation:
Crystal system: tetragonal
Symmetry: No. 119
Relative energy among the computed polymorphs in meV/atom: 617
DOS(E_F) in states/eV/f.u.: 5.502



2.
The following is a PBE calculation of Sb2RuCl after structural relaxation, from Alexandria.

POSCAR file:
```
Sb2RuCl
1.0
0.0066 0.2908 -4.2672
1.3669 -2.5653 -3.1375
-7.5408 -2.7843 2.0413
Cl Sb Ru
1 2 1
direct
0.7500 0.7500 0.7500 Cl
0.5991 0.5991 0.4193 Sb
0.9009 0.9009 0.0807 Sb
0.2500 0.2500 0.2500 Ru
```

Values from the calculation:
Crystal system: monoclinic
Symmetry: No. 12
Relative energy among the computed polymorphs in meV/atom: 0
DOS(E_F) in states/eV/f.u.: 1.698



3.
The following is a PBE calculation of SbRu2Cl after structural relaxation, from Alexandria.

POSCAR file:
```
SbRu2Cl
1.0
-0.3410 2.5744 3.3784
-2.3193 -1.7018 1.0627
3.3200 -3.0343 2.6472
Cl Sb Ru
1 1 2
direct
0.5000 0.7500 0.7500 Cl
0.5000 0.2500 0.2500 Sb
0.0000 0.9690 0.9753 Ru
0.0000 0.5310 0.5247 Ru
```

Values from the calculation:
Crystal system: monoclinic
Symmetry: No. 10
Relative energy among the computed polymorphs in meV/atom: 492
DOS(E_F) in states/eV/f.u.: 3.980



4.
The following is a PBE calculation of Sb2RuCl after structural relaxation, from Alexandria.

POSCAR file:
```
Sb2RuCl
1.0
-0.8434 -4.9968 0.5914
4.3740 -0.4361 2.5897
-1.5152 0.5700 2.6551
Ru Cl Sb
1 1 2
direct
0.0000 0.5000 0.5000 Ru
0.5000 0.0000 0.5000 Cl
0.0000 0.0000 0.0000 Sb
0.5000 0.5000 0.0000 Sb
```

Values from the calculation:
Crystal system: tetragonal
Symmetry: No. 123
Relative energy among the computed polymorphs in meV/atom: 541
DOS(E_F) in states/eV/f.u.: 4.137



5.
The following is a PBE calculation of Sb2RuCl after structural relaxation, from Alexandria.

POSCAR file:
```
Sb2RuCl
1.0
-3.3673 -3.3329 -1.2468
1.2471 -3.8042 -2.8239
0.1917 -4.5082 1.9082
Sb Cl Ru
2 1 1
direct
0.0000 0.0000 0.0000 Sb
0.2500 0.2500 0.2500 Sb
0.5000 0.5000 0.5000 Cl
0.7500 0.7500 0.7500 Ru
```

Values from the calculation:
Crystal system: cubic
Symmetry: No. 216
Relative energy among the computed polymorphs in meV/atom: 683
DOS(E_F) in states/eV/f.u.: 3.782



6.
The following is a PBE calculation of SbRuCl after structural relaxation, from Alexandria.

POSCAR file:
```
SbRuCl
1.0
4.4429 0.0000 0.0000
2.2215 3.8477 0.0000
2.2215 1.2826 3.6276
Ru Cl Sb
1 1 1
direct
0.2500 0.2500 0.2500 Ru
0.5000 0.5000 0.5000 Cl
0.0000 0.0000 0.0000 Sb
```

Values from the calculation:
Crystal system: cubic
Symmetry: No. 216
Relative energy among the computed polymorphs in meV/atom: 76
DOS(E_F) in states/eV/f.u.: 0.924



no.,calculated density (Mg/m³),formation energy (no corrections) (eV/atom)
1,8.802,0.728
2,6.024,-0.180
3,8.751,0.603
4,7.797,0.361
5,7.590,0.503
6,6.916,0.125